Material: CeThSc2
Method: DFT, PBE
State: relaxed

Calculated values
- Excess energy over the best structure of this formula in the dataset: 1.10 kcal/mol of atoms
- Space-group type: Pm, No. 6

Unit cell a=3.371 b=3.374 c=11.184 alpha=90.00 beta=90.00 gamma=120.05
Fractional coordinates of all 4 atoms:
Ce 0.795 0.322 0.500
Sc 0.125 0.989 0.253
Sc 0.125 0.989 0.747
Th 0.455 0.655 0.000

Material: Ce2Th4Sc3
Method: DFT, PBE
State: relaxed

Calculated values
- Space-group type: P-1, No. 2

Unit cell a=6.605 b=6.980 c=13.449 alpha=76.01 beta=119.75 gamma=102.22
Fractional coordinates of all 18 atoms:
Th 0.521 0.022 0.769
Th 0.028 0.243 0.509
Th 0.548 0.500 0.249
Th 0.967 0.739 0.998
Th 0.033 0.261 0.002
Th 0.452 0.500 0.751
Th 0.972 0.757 0.491
Th 0.479 0.978 0.231
Ce 0.620 0.862 0.598
Ce 0.061 0.603 0.792
Ce 0.380 0.138 0.402
Ce 0.939 0.397 0.208
Sc 0.529 0.243 0.999
Sc 0.471 0.757 0.001
Sc 0.309 0.624 0.396
Sc 0.691 0.376 0.604
Sc 0.923 0.911 0.200
Sc 0.077 0.089 0.800

Material: Ce6Th2Sc
Method: DFT, PBE
State: relaxed

Calculated values
- Space-group type: P6/mmm, No. 191

Unit cell a=3.351 b=9.259 c=9.259 alpha=120.00 beta=90.00 gamma=90.00
Fractional coordinates of all 9 atoms:
Th 0.500 0.667 0.333
Th 0.500 0.333 0.667
Ce 0.000 0.324 0.324
Ce 0.000 0.000 0.324
Ce 0.000 0.676 0.000
Ce 0.000 0.324 0.000
Ce 0.000 0.676 0.676
Ce 0.000 0.000 0.676
Sc 0.500 0.000 0.000

Material: CeTh4Sc
Method: DFT, PBE
State: relaxed

Calculated values
- Space-group type: C2/m, No. 12

Unit cell a=6.048 b=7.035 c=9.215 alpha=78.97 beta=77.00 gamma=73.08
Fractional coordinates of all 12 atoms:
Th 0.507 0.583 0.163
Th 0.998 0.083 0.670
Th 0.002 0.917 0.330
Th 0.002 0.417 0.330
Th 0.507 0.083 0.163
Th 0.493 0.417 0.837
Th 0.998 0.583 0.670
Th 0.493 0.917 0.837
Ce 0.500 0.750 0.500
Ce 0.500 0.250 0.500
Sc 0.000 0.750 0.000
Sc 0.000 0.250 0.000

Material: Ce2ThSc
Method: DFT, PBE
State: relaxed

Calculated values
- Excess energy over the best structure of this formula in the dataset: 0.43 kcal/mol of atoms
- Space-group type: P4/mmm, No. 123

Unit cell a=4.999 b=4.744 c=4.744 alpha=90.00 beta=90.00 gamma=90.00
Fractional coordinates of all 4 atoms:
Th 0.500 0.500 0.500
Ce 0.000 0.000 0.500
Ce 0.000 0.500 0.000
Sc 0.500 0.000 0.000

Material: Ce3Th2Sc2
Method: DFT, PBE
State: relaxed

Calculated values
- Space-group type: P2_1/c, No. 14

Unit cell a=6.380 b=11.200 c=11.645 alpha=90.00 beta=90.00 gamma=151.38
Fractional coordinates of all 14 atoms:
Sc 0.614 0.888 0.762
Sc 0.114 0.888 0.738
Sc 0.386 0.112 0.238
Sc 0.886 0.112 0.262
Ce 0.623 0.387 0.664
Ce 0.377 0.613 0.336
Ce 0.123 0.387 0.836
Ce 0.500 0.000 0.000
Ce 0.877 0.613 0.164
Ce 0.000 0.000 0.500
Th 0.007 0.699 0.439
Th 0.493 0.301 0.939
Th 0.993 0.301 0.561
Th 0.507 0.699 0.061

| no. | total energy (eV per atom) |
| --- | --- |
| 1 | -6.397 |
| 2 | -6.577 |
| 3 | -6.240 |
| 4 | -6.952 |
| 5 | -6.327 |
| 6 | -6.278 |